1.
A relaxed LaTe2Ru crystal, computed with PBE-GGA.

Cell and atoms, written as POSCAR:
```
LaTe2Ru
1.0
-2.3074 -3.1715 3.4671
-1.1576 -4.9295 -1.3277
2.6816 -3.9749 2.1005
Te La Ru
2 1 1
Direct
0.0000 0.0000 0.0000
0.2500 0.2500 0.2500
0.5000 0.5000 0.5000
0.7500 0.7500 0.7500
```

Output
ΔE_f (raw): -3 meV per atom
calculated total energy: -20.50 eV per formula unit
space-group type: F-43m, No. 216
polymorph energy (0 for the lowest one): 61.6 kJ per mole of atoms
size of the total moment: 1.41 μB per cell

=====

2.
A relaxed LaTe2Ru crystal, computed with PBE-GGA.

Cell and atoms, written as POSCAR:
```
LaTe2Ru
1.0
0.0000 3.7168 3.7168
3.7168 0.0000 3.7168
3.7168 3.7168 0.0000
Te La Ru
2 1 1
Direct
0.7500 0.7500 0.7500
0.2500 0.2500 0.2500
0.5000 0.5000 0.5000
0.0000 0.0000 0.0000
```

Output
ΔE_f (raw): -362 meV per atom
calculated total energy: -21.93 eV per formula unit
space-group type: Fm-3m, No. 225
polymorph energy (0 for the lowest one): 27.0 kJ per mole of atoms
size of the total moment: 2.96 μB per cell

=====

3.
A relaxed LaThTeRu crystal, computed with PBE-GGA.

Cell and atoms, written as POSCAR:
```
LaThTeRu
1.0
-1.9119 -3.3870 1.5651
3.3801 -0.4412 -2.4417
4.7165 2.7240 6.0366
Ru La Te Th
1 1 1 1
Direct
0.3143 0.5548 0.8845
0.4972 0.1466 0.6590
0.9648 0.3806 0.3603
0.1015 0.9488 0.0659
```

Output
ΔE_f (raw): -837 meV per atom
calculated total energy: -28.11 eV per formula unit
space-group type: R3m, No. 160
size of the total moment: 0.00 μB per cell

=====

4.
A relaxed La2Th3Ru2 crystal, computed with PBE-GGA.

Cell and atoms, written as POSCAR:
```
La2Th3Ru2
1.0
3.7300 0.0000 1.0482
1.3288 5.7365 2.4322
-0.5463 -0.0754 9.1047
Th Ru La
3 2 2
Direct
0.6218 0.1870 0.5694
0.5000 0.0000 0.0000
0.3782 0.8130 0.4306
0.1319 0.9509 0.7853
0.8681 0.0491 0.2147
0.1629 0.4679 0.2063
0.8371 0.5321 0.7937
```

Output
calculated total energy: -52.95 eV per formula unit
space-group type: C2/m, No. 12
calculated formation energy: -326.0 meV per atom
size of the total moment: 0.00 μB per cell

=====

5.
A relaxed LaThRu crystal, computed with PBE-GGA.

Cell and atoms, written as POSCAR:
```
LaThRu
1.0
4.7803 0.0000 0.0000
0.0000 4.5381 0.0000
0.0000 -2.2690 3.9301
Th La Ru
1 1 1
Direct
0.2227 0.3333 0.6667
0.7075 0.6667 0.3333
0.0698 0.0000 0.0000
```

Output
calculated total energy: -22.13 eV per formula unit
space-group type: P3m1, No. 156
calculated formation energy: -167.5 meV per atom
polymorph energy (0 for the lowest one): 15.4 kJ per mole of atoms
size of the total moment: 0.00 μB per cell

=====

6.
A relaxed LaTh2Ru crystal, computed with PBE-GGA.

Cell and atoms, written as POSCAR:
```
LaTh2Ru
1.0
3.9969 0.0000 0.0000
1.9984 3.4614 0.0000
1.9984 1.1538 9.1734
Th La Ru
2 1 1
Direct
0.0583 0.0583 0.8250
0.2753 0.2753 0.1742
0.5007 0.5007 0.4978
0.6657 0.6657 0.0029
```

Output
calculated total energy: -29.78 eV per formula unit
space-group type: R3m, No. 160
calculated formation energy: -185.1 meV per atom
polymorph energy (0 for the lowest one): 9.9 kJ per mole of atoms
size of the total moment: 0.00 μB per cell

=====

7.
A relaxed LaThRu crystal, computed with PBE-GGA.

Cell and atoms, written as POSCAR:
```
LaThRu
1.0
5.1012 -0.2462 -0.0184
0.2456 5.1011 -0.0182
0.0239 0.0218 6.5831
Ru La Th
2 2 2
Direct
0.8137 0.8668 0.1095
0.3136 0.3667 0.7299
0.8135 0.8661 0.5266
0.3135 0.3661 0.3125
0.3136 0.8666 0.9196
0.8136 0.3666 0.9196
```

Output
calculated total energy: -22.61 eV per formula unit
space-group type: P4/nmm, No. 129
calculated formation energy: -327.4 meV per atom
polymorph energy (0 for the lowest one): 0.0 kJ per mole of atoms
size of the total moment: 0.00 μB per cell

=====

8.
A relaxed LaThRu crystal, computed with PBE-GGA.

Cell and atoms, written as POSCAR:
```
LaThRu
1.0
3.6297 0.0000 0.0000
0.0000 3.6297 0.0000
-1.8149 -1.8149 5.8584
La Th Ru
1 1 1
Direct
0.9911 0.9911 0.9821
0.6976 0.6976 0.3952
0.3113 0.3113 0.6226
```

Output
calculated total energy: -22.24 eV per formula unit
space-group type: I4mm, No. 107
calculated formation energy: -205.9 meV per atom
polymorph energy (0 for the lowest one): 11.7 kJ per mole of atoms
size of the total moment: 0.00 μB per cell

=====

9.
A relaxed LaThRu4 crystal, computed with PBE-GGA.

Cell and atoms, written as POSCAR:
```
LaThRu4
1.0
-5.3351 0.3416 0.9873
-3.1304 -4.4251 -0.4173
-2.0889 -2.2832 4.4697
Ru Th La
4 1 1
Direct
0.6251 0.1247 0.6251
0.1247 0.6251 0.6251
0.6251 0.6251 0.1247
0.6251 0.6251 0.6251
0.0000 0.0000 0.0000
0.2500 0.2500 0.2500
```

Output
calculated total energy: -50.84 eV per formula unit
space-group type: F-43m, No. 216
calculated formation energy: -232.0 meV per atom
size of the total moment: 0.00 μB per cell

=====

10.
A relaxed La2Th2Ru3 crystal, computed with PBE-GGA.

Cell and atoms, written as POSCAR:
```
La2Th2Ru3
1.0
-4.4073 0.2780 1.0961
0.8390 -3.7519 -5.1240
0.9747 -4.8253 5.1416
Th Ru La
2 3 2
Direct
0.3685 0.7369 0.0943
0.6315 0.2631 0.9057
0.8095 0.6189 0.2513
0.0000 0.0000 0.0000
0.1905 0.3811 0.7487
0.8705 0.7410 0.6332
0.1295 0.2590 0.3668
```

Output
calculated total energy: -55.02 eV per formula unit
space-group type: C2/m, No. 12
calculated formation energy: -356.9 meV per atom
size of the total moment: 0.00 μB per cell

=====

11.
A relaxed La2ThRu2 crystal, computed with PBE-GGA.

Cell and atoms, written as POSCAR:
```
La2ThRu2
1.0
6.6616 0.0000 -2.1368
0.0000 7.8318 0.0000
0.3837 0.0000 9.6636
Th La Ru
4 8 8
Direct
0.5333 0.7056 0.5654
0.9667 0.2056 0.4346
0.4667 0.2944 0.4346
0.0333 0.7944 0.5654
0.7320 0.6199 0.2420
0.9673 0.7061 0.9250
0.2680 0.3801 0.7580
0.2320 0.8801 0.2420
0.0327 0.2939 0.0750
0.5327 0.2061 0.0750
0.7680 0.1199 0.7580
0.4673 0.7939 0.9250
0.6679 0.9832 0.4134
0.7998 0.9665 0.1548
0.2998 0.5335 0.1548
0.8321 0.4832 0.5866
0.3321 0.0168 0.5866
0.1679 0.5168 0.4134
0.7002 0.4665 0.8452
0.2002 0.0335 0.8452
```

Output
calculated total energy: -37.43 eV per formula unit
space-group type: P2_1/c, No. 14
calculated formation energy: -321.1 meV per atom
size of the total moment: 0.00 μB per cell

=====

12.
A relaxed LaTh2Ru crystal, computed with PBE-GGA.

Cell and atoms, written as POSCAR:
```
LaTh2Ru
1.0
3.6449 0.0000 0.0000
0.0000 3.6449 0.0000
0.0000 0.0000 8.3419
Th La Ru
2 1 1
Direct
0.0000 0.0000 0.8032
0.0000 0.0000 0.1968
0.5000 0.5000 0.5000
0.5000 0.5000 0.0000
```

Output
calculated total energy: -29.55 eV per formula unit
space-group type: P4/mmm, No. 123
calculated formation energy: -126.4 meV per atom
polymorph energy (0 for the lowest one): 15.5 kJ per mole of atoms
size of the total moment: 0.00 μB per cell

=====

Which value of size of the total moment does entry 10 give?
0.00 μB per cell

=====

Which value of size of the total moment does entry 1 give?
1.41 μB per cell